Here is SrNiRu2O8 after structural relaxation from the Alexandria database. Energies are from PBE with a Hubbard U.

Cell lengths 5.273, 5.273, 7.371 Å; angles 88.55, 88.55, 67.12 degrees
Site moments in Bohr magnetons follow the coordinates.
Fractional coordinates of all 12 atoms:
Sr1 0.000 0.000 0.500  0.02
Ni1 0.000 0.000 0.000  1.80
Ru1 0.632 0.632 0.214  1.09
Ru2 0.368 0.368 0.786  1.09
O1 0.743 0.223 0.791  0.15
O2 0.771 0.771 0.035  0.24
O3 0.714 0.714 0.433  0.25
O4 0.286 0.286 0.567  0.25
O5 0.229 0.229 0.965  0.24
O6 0.223 0.743 0.791  0.15
O7 0.777 0.257 0.209  0.15
O8 0.257 0.777 0.209  0.15

VASP energy: -76.48 eV/cell